(1)
4
Lattice="3.7194 0.0000 0.0000 0.0000 3.7194 0.0000 0.0000 0.0000 7.5668" Properties=species:S:1:pos:R:3 comment="PrDyCdAu PBE relaxed" spacegroup="P4mm, No. 99" formation_energy_mev_per_atom=-562 polymorph_energy_ev_per_fu=0.000 pbc="T T T"
Pr 0.0000 0.0000 0.0000
Dy 0.0000 0.0000 3.5767
Cd 1.8597 1.8597 5.4708
Au 1.8597 1.8597 2.0337

(2)
4
Lattice="0.0000 3.7402 3.7402 3.7402 0.0000 3.7402 3.7402 3.7402 0.0000" Properties=species:S:1:pos:R:3 comment="PrDyCdAu PBE relaxed" spacegroup="F-43m, No. 216" formation_energy_mev_per_atom=-519 polymorph_energy_ev_per_fu=0.170 pbc="T T T"
Pr 0.0000 0.0000 0.0000
Dy 3.7402 3.7402 3.7402
Cd 1.8701 1.8701 1.8701
Au 5.6103 5.6103 5.6103

(3)
8
Lattice="2.5084 1.4482 8.1743 -2.5084 1.4482 8.1743 0.0000 -2.8964 8.1743" Properties=species:S:1:pos:R:3 comment="Dy4CdRh2Au PBE relaxed" spacegroup="R-3m, No. 166" formation_energy_mev_per_atom=-686 pbc="T T T"
Dy 0.0000 0.0000 2.9992
Dy 0.0000 0.0000 9.1310
Dy 0.0000 0.0000 15.3918
Dy 0.0000 0.0000 21.5236
Cd 0.0000 0.0000 12.2614
Rh 0.0000 0.0000 6.0386
Rh 0.0000 0.0000 18.4842
Au 0.0000 0.0000 0.0000

(4)
4
Lattice="0.0000 3.6311 3.6311 3.6311 0.0000 3.6311 3.6311 3.6311 0.0000" Properties=species:S:1:pos:R:3 comment="DyCdSbAu PBE relaxed" spacegroup="F-43m, No. 216" formation_energy_uncorrected_kj_per_mol_fu=-168 pbc="T T T"
Dy 0.0000 0.0000 0.0000
Cd 3.6311 3.6311 3.6311
Sb 5.4467 5.4467 5.4467
Au 1.8156 1.8156 1.8156

(5)
4
Lattice="3.5791 0.0000 0.0000 0.0000 3.5791 0.0000 0.0000 0.0000 7.0942" Properties=species:S:1:pos:R:3 comment="DyScCdAu PBE relaxed" spacegroup="P4mm, No. 99" formation_energy_mev_per_atom=-563 polymorph_energy_ev_per_fu=0.000 pbc="T T T"
Dy 0.0000 0.0000 0.0000
Sc 0.0000 0.0000 3.3577
Cd 1.7896 1.7896 5.0705
Au 1.7896 1.7896 1.8355

(6)
8
Lattice="2.4334 1.4049 8.0173 -2.4334 1.4049 8.0173 0.0000 -2.8099 8.0173" Properties=species:S:1:pos:R:3 comment="DySc2CdAu4 PBE relaxed" spacegroup="R-3m, No. 166" formation_energy_mev_per_atom=-702 pbc="T T T"
Dy 0.0000 0.0000 0.0000
Sc 0.0000 0.0000 5.8572
Sc 0.0000 0.0000 18.1946
Cd 0.0000 0.0000 12.0259
Au 0.0000 0.0000 2.9280
Au 0.0000 0.0000 8.9653
Au 0.0000 0.0000 15.0865
Au 0.0000 0.0000 21.1238

(7)
4
Lattice="0.0000 3.5710 3.5710 3.5710 0.0000 3.5710 3.5710 3.5710 0.0000" Properties=species:S:1:pos:R:3 comment="DyScCdAu PBE relaxed" spacegroup="F-43m, No. 216" formation_energy_mev_per_atom=-527 polymorph_energy_ev_per_fu=0.142 pbc="T T T"
Dy 0.0000 0.0000 0.0000
Sc 3.5710 3.5710 3.5710
Cd 1.7855 1.7855 1.7855
Au 5.3565 5.3565 5.3565

(8)
4
Lattice="0.0000 3.7028 3.7028 3.7028 0.0000 3.7028 3.7028 3.7028 0.0000" Properties=species:S:1:pos:R:3 comment="SmDyCdAu PBE relaxed" spacegroup="F-43m, No. 216" formation_energy_mev_per_atom=-541 polymorph_energy_ev_per_fu=0.129 pbc="T T T"
Sm 0.0000 0.0000 0.0000
Dy 3.7028 3.7028 3.7028
Cd 5.5542 5.5542 5.5542
Au 1.8514 1.8514 1.8514